A relaxed YFeCoSi crystal, computed with GGA-PBE.

Cell lengths 6.305, 6.305, 6.305 Å; angles 90.00, 90.00, 90.00 degrees
Space group F-43m (No. 216)
Unique sites:
1 Y 0.000 0.000 0.000 (multiplicity 4)
2 Fe 0.000 0.000 0.500 (multiplicity 4)
3 Co 0.250 0.250 0.750 (multiplicity 4)
4 Si 0.250 0.250 0.250 (multiplicity 4)

Summary:
Excess energy over the best structure of this formula in the dataset = 0.191 eV per atom
Size of the total moment = 4.28 μB/f.u.
VASP energy = -6.806 eV per atom